# Al2VGe4 | Alexandria via LeMat-Bulk | PBE-GGA | relaxed
data_Al2VGe4
_chemical_formula_sum 'Al2 V1 Ge4'
_cell_length_a 4.808
_cell_length_b 4.808
_cell_length_c 7.269
_cell_angle_alpha 70.69
_cell_angle_beta 70.69
_cell_angle_gamma 90.00
_space_group_name_H-M_alt 'P 1'
_space_group_IT_number 1
_space_group_name_Hall 'P 1'
loop_
_atom_site_label
_atom_site_fract_x
_atom_site_fract_y
_atom_site_fract_z
_atom_site_occupancy
Ge1 0.193 0.193 0.614 1
Ge2 0.807 0.807 0.386 1
Ge3 0.000 0.500 0.000 1
Ge4 0.500 0.000 0.000 1
Al1 0.387 0.387 0.225 1
Al2 0.613 0.613 0.775 1
V1 0.000 0.000 0.000 1
# Volume, Å³/atom: 21.22
# Crystal system: tetragonal
# E_tot, eV/atom: -4.60
# Calculated density, g/cm3: 4.42
# Formation energy, eV/f.u.: 2.9